A plane-wave DFT calculation with PBE was carried out for a geometry-optimized Y4Ho6Zr structure.

Calculated density   7.05 Mg/m³
Calculated total energy   -5.478 eV per atom
Volume   676.21 Å³/cell
Total moment   2.5 μB/cell

Cell: 8.7385 8.7385 8.8553 Å, 90.00 90.00 90.00°
Sites, in units of the cell vectors:
Y 0.1474 0.3526 0.2500
Y 0.1474 0.3526 0.7500
Y 0.3526 0.8526 0.2500
Y 0.3526 0.8526 0.7500
Y 0.6474 0.1474 0.2500
Y 0.6474 0.1474 0.7500
Y 0.8526 0.6474 0.2500
Y 0.8526 0.6474 0.7500
Ho 0.0000 0.0000 0.1739
Ho 0.0000 0.0000 0.8261
Ho 0.1499 0.6534 0.5000
Ho 0.1534 0.6499 0.0000
Ho 0.3466 0.1499 0.5000
Ho 0.3501 0.1534 0.0000
Ho 0.5000 0.5000 0.3261
Ho 0.5000 0.5000 0.6739
Ho 0.6499 0.8466 0.0000
Ho 0.6534 0.8501 0.5000
Ho 0.8466 0.3501 0.0000
Ho 0.8501 0.3466 0.5000
Zr 0.0000 0.0000 0.5000
Zr 0.5000 0.5000 0.0000